No. 1
{"formula": "CoBOF2", "functional": "PBE with a Hubbard U", "state": "relaxed", "dos_ef_per_ev_fu": 2.1, "spacegroup": "P4/mmm, No. 123", "polymorph_energy_ev_per_atom": 0.000, "lattice": [[-2.018, -2.977, 2.284], [-0.660, -2.271, -3.543], [2.282, -1.256, 0.380]], "species": ["B", "Co", "O", "F", "F"], "frac_coords": [[0.000, 0.000, 0.000], [0.500, 0.500, 0.500], [0.000, 0.000, 0.500], [0.000, 0.500, 0.000], [0.500, 0.000, 0.000]]}

No. 2
{"formula": "CoBOF2", "functional": "PBE with a Hubbard U", "state": "relaxed", "dos_ef_per_ev_fu": 0.5, "spacegroup": "P4/mmm, No. 123", "polymorph_energy_ev_per_atom": 0.841, "lattice": [[-2.849, 0.850, -2.749], [-1.455, -3.763, 0.345], [-2.247, 1.113, 2.673]], "species": ["B", "Co", "O", "F", "F"], "frac_coords": [[0.500, 0.500, 0.500], [0.000, 0.000, 0.000], [0.000, 0.000, 0.500], [0.000, 0.500, 0.000], [0.500, 0.000, 0.000]]}

No. 3
{"formula": "CoBO2F", "functional": "PBE with a Hubbard U", "state": "relaxed", "dft_energy_ev_per_atom": -5.593, "spacegroup": "P4/mmm, No. 123", "lattice": [[-0.965, 2.732, -1.887], [-2.898, -1.652, -0.910], [-1.521, 1.246, 2.582]], "species": ["B", "Co", "O", "O", "F"], "frac_coords": [[0.000, 0.000, 0.000], [0.500, 0.500, 0.500], [0.000, 0.500, 0.000], [0.500, 0.000, 0.000], [0.000, 0.000, 0.500]]}

No. 4
{"formula": "CoB2PF", "functional": "PBE with a Hubbard U", "state": "relaxed", "dft_energy_ev_per_atom": -4.635, "dos_ef_per_ev_fu": 2.2, "spacegroup": "P4/mmm, No. 123", "lattice": [[-0.290, -2.806, -2.425], [3.992, -1.044, 0.730], [-1.093, -2.260, 2.745]], "species": ["P", "B", "B", "Co", "F"], "frac_coords": [[0.000, 0.500, 0.000], [0.000, 0.000, 0.500], [0.500, 0.000, 0.000], [0.000, 0.000, 0.000], [0.500, 0.500, 0.500]]}

No. 5
{"formula": "CoBPdF2", "functional": "PBE with a Hubbard U", "state": "relaxed", "dft_energy_ev_per_atom": -3.622, "dos_ef_per_ev_fu": 1.0, "spacegroup": "P4/mmm, No. 123", "lattice": [[-0.967, 3.147, 2.222], [-2.029, -3.223, 3.684], [3.539, -0.179, 1.793]], "species": ["B", "Co", "Pd", "F", "F"], "frac_coords": [[0.500, 0.500, 0.500], [0.000, 0.500, 0.000], [0.000, 0.000, 0.000], [0.000, 0.000, 0.500], [0.500, 0.000, 0.000]]}

No. 6
{"formula": "RbCoB2F8", "functional": "PBE with a Hubbard U", "state": "relaxed", "dft_energy_ev_per_atom": -5.478, "spacegroup": "R-3, No. 148", "lattice": [[-4.352, -2.571, 0.301], [-0.775, -3.227, 3.824], [-4.769, 3.732, 5.535]], "species": ["Rb", "Co", "B", "B", "F", "F", "F", "F", "F", "F", "F", "F"], "frac_coords": [[0.500, 0.500, 0.500], [0.000, 0.000, 0.000], [0.256, 0.256, 0.231], [0.744, 0.744, 0.769], [0.194, 0.194, 0.417], [0.547, 0.265, 0.172], [0.806, 0.806, 0.583], [0.016, 0.547, 0.172], [0.984, 0.453, 0.828], [0.265, 0.016, 0.172], [0.735, 0.984, 0.828], [0.453, 0.735, 0.828]]}

No. 7
{"formula": "CoReB2F", "functional": "PBE with a Hubbard U", "state": "relaxed", "dft_energy_ev_per_atom": -5.459, "dos_ef_per_ev_fu": 3.2, "spacegroup": "P4/mmm, No. 123", "lattice": [[4.001, 0.000, 0.000], [0.000, 5.155, 0.000], [0.000, 0.000, 4.001]], "species": ["Re", "B", "B", "Co", "F"], "frac_coords": [[0.000, 0.000, 0.000], [0.000, 0.000, 0.500], [0.500, 0.000, 0.000], [0.000, 0.500, 0.000], [0.500, 0.500, 0.500]]}

No. 8
{"formula": "Ta2CoBF", "functional": "PBE with a Hubbard U", "state": "relaxed", "dft_energy_ev_per_atom": -6.990, "dos_ef_per_ev_fu": 2.0, "spacegroup": "P4/mmm, No. 123", "lattice": [[4.554, 0.000, 0.000], [0.000, 4.554, 0.000], [0.000, 0.000, 3.426]], "species": ["B", "F", "Co", "Ta", "Ta"], "frac_coords": [[0.000, 0.000, 0.000], [0.000, 0.000, 0.500], [0.500, 0.500, 0.500], [0.000, 0.500, 0.000], [0.500, 0.000, 0.000]]}

No. 9
{"formula": "Zn2CoBF", "functional": "PBE with a Hubbard U", "state": "relaxed", "dft_energy_ev_per_atom": -3.344, "dos_ef_per_ev_fu": 1.1, "spacegroup": "P4/mmm, No. 123", "lattice": [[4.117, 0.000, 0.000], [0.000, 4.121, 0.000], [0.000, 0.000, 4.117]], "species": ["Zn", "Zn", "B", "Co", "F"], "frac_coords": [[0.000, 0.000, 0.500], [0.500, 0.000, 0.000], [0.000, 0.000, 0.000], [0.000, 0.500, 0.000], [0.500, 0.500, 0.500]]}